# Mg5AgPb GGA-PBE optimized geometry
data_Mg5AgPb
_symmetry_space_group_name_H-M 'P 1'
_symmetry_Int_Tables_number 1
_cell_length_a 7.178
_cell_length_b 7.178
_cell_length_c 9.293
_cell_angle_alpha 59.77
_cell_angle_beta 59.77
_cell_angle_gamma 91.13
loop_
_symmetry_equiv_pos_as_xyz
'x,y,z'
loop_
_atom_site_label
_atom_site_fract_x
_atom_site_fract_y
_atom_site_fract_z
Mg1 0.684 0.902 0.917
Mg2 0.444 0.805 0.359
Mg3 0.902 0.684 0.417
Mg4 0.849 0.151 0.250
Mg5 0.195 0.556 0.141
Mg6 0.805 0.444 0.859
Mg7 0.151 0.849 0.750
Mg8 0.098 0.316 0.583
Mg9 0.556 0.195 0.641
Mg10 0.316 0.098 0.083
Ag1 0.000 0.000 0.000
Ag2 0.000 0.000 0.500
Pb1 0.571 0.429 0.250
Pb2 0.429 0.571 0.750
# * formation energy: 32 meV per atom